Record 1
An optimized crystal structure of Lu4CdPbC2, computed with PBE-GGA.

- symmetry = No. 187

Cell lengths 3.514, 3.514, 15.890 Å; angles 90.00, 90.00, 120.00 degrees
Positions (direct):
Lu (0.000, 0.000, 0.168)
Lu (0.000, 0.000, 0.832)
Lu (0.667, 0.333, 0.331)
Lu (0.667, 0.333, 0.669)
Cd (0.667, 0.333, 0.000)
Pb (0.000, 0.000, 0.500)
C (0.333, 0.667, 0.252)
C (0.333, 0.667, 0.748)



Record 2
An optimized crystal structure of Lu4CdPbC2, computed with PBE-GGA.

- symmetry = No. 187

Cell lengths 3.520, 3.520, 15.836 Å; angles 90.00, 90.00, 120.00 degrees
Positions (direct):
Lu (0.000, 0.000, 0.167)
Lu (0.000, 0.000, 0.833)
Lu (0.667, 0.333, 0.331)
Lu (0.667, 0.333, 0.669)
Cd (0.667, 0.333, 0.000)
Pb (0.000, 0.000, 0.500)
C (0.333, 0.667, 0.250)
C (0.333, 0.667, 0.750)



Record 3
An optimized crystal structure of Lu4CdC2S, computed with PBE-GGA.

- symmetry = No. 187

Cell lengths 3.560, 3.560, 14.186 Å; angles 90.00, 90.00, 120.00 degrees
Positions (direct):
Lu (0.000, 0.000, 0.130)
Lu (0.000, 0.000, 0.870)
Lu (0.333, 0.667, 0.312)
Lu (0.333, 0.667, 0.688)
Cd (0.000, 0.000, 0.500)
C (0.667, 0.333, 0.223)
C (0.667, 0.333, 0.777)
S (0.333, 0.667, 0.000)



Record 4
An optimized crystal structure of Lu4CdC2S, computed with PBE-GGA.

- symmetry = No. 187

Cell lengths 3.557, 3.557, 14.249 Å; angles 90.00, 90.00, 120.00 degrees
Positions (direct):
Lu (0.000, 0.000, 0.129)
Lu (0.000, 0.000, 0.871)
Lu (0.333, 0.667, 0.310)
Lu (0.333, 0.667, 0.690)
Cd (0.000, 0.000, 0.500)
C (0.667, 0.333, 0.221)
C (0.667, 0.333, 0.779)
S (0.333, 0.667, 0.000)



Record 5
An optimized crystal structure of Lu4Sc2Cd3C3, computed with PBE-GGA.

- symmetry = No. 15

Cell lengths 6.006, 6.006, 16.575 Å; angles 100.23, 100.23, 59.93 degrees
Positions (direct):
Lu (0.026, 0.192, 0.080)
Lu (0.140, 0.307, 0.420)
Lu (0.192, 0.026, 0.580)
Lu (0.307, 0.140, 0.920)
Lu (0.693, 0.860, 0.080)
Lu (0.808, 0.974, 0.420)
Lu (0.860, 0.693, 0.580)
Lu (0.974, 0.808, 0.920)
Sc (0.359, 0.524, 0.077)
Sc (0.476, 0.641, 0.423)
Sc (0.524, 0.359, 0.577)
Sc (0.641, 0.476, 0.923)
Cd (0.052, 0.948, 0.750)
Cd (0.125, 0.414, 0.750)
Cd (0.414, 0.125, 0.250)
Cd (0.586, 0.875, 0.750)
Cd (0.875, 0.586, 0.250)
Cd (0.948, 0.052, 0.250)
C (0.000, 0.500, 0.000)
C (0.180, 0.660, 0.500)
C (0.340, 0.820, 0.000)
C (0.500, 0.000, 0.500)
C (0.660, 0.180, 0.000)
C (0.820, 0.340, 0.500)



Record 6
An optimized crystal structure of Lu4CdC2Se, computed with PBE-GGA.

- symmetry = No. 187

Cell lengths 3.592, 3.592, 14.405 Å; angles 90.00, 90.00, 120.00 degrees
Positions (direct):
Lu (0.000, 0.000, 0.137)
Lu (0.000, 0.000, 0.863)
Lu (0.333, 0.667, 0.316)
Lu (0.333, 0.667, 0.684)
Cd (0.000, 0.000, 0.500)
C (0.667, 0.333, 0.228)
C (0.667, 0.333, 0.772)
Se (0.333, 0.667, 0.000)



Record 7
An optimized crystal structure of Lu4Ta2Cd3C3, computed with PBE-GGA.

- symmetry = No. 15

Cell lengths 5.849, 5.849, 15.598 Å; angles 101.32, 101.32, 60.09 degrees
Positions (direct):
Lu (0.045, 0.184, 0.091)
Lu (0.122, 0.302, 0.409)
Lu (0.184, 0.045, 0.591)
Lu (0.302, 0.122, 0.909)
Lu (0.698, 0.878, 0.091)
Lu (0.816, 0.955, 0.409)
Lu (0.878, 0.698, 0.591)
Lu (0.955, 0.816, 0.909)
Ta (0.344, 0.523, 0.069)
Ta (0.477, 0.656, 0.431)
Ta (0.523, 0.344, 0.569)
Ta (0.656, 0.477, 0.931)
Cd (0.132, 0.868, 0.250)
Cd (0.292, 0.421, 0.751)
Cd (0.421, 0.292, 0.251)
Cd (0.579, 0.708, 0.749)
Cd (0.708, 0.579, 0.249)
Cd (0.868, 0.132, 0.750)
C (0.000, 0.500, 0.000)
C (0.199, 0.651, 0.500)
C (0.349, 0.801, 0.000)
C (0.500, 0.000, 0.500)
C (0.651, 0.199, 0.000)
C (0.801, 0.349, 0.500)



Record 8
An optimized crystal structure of Lu2Ta4Cd3C3, computed with PBE-GGA.

- symmetry = No. 15

Cell lengths 5.687, 5.687, 14.916 Å; angles 101.29, 101.29, 59.94 degrees
Positions (direct):
Lu (0.036, 0.879, 0.605)
Lu (0.121, 0.964, 0.895)
Lu (0.879, 0.036, 0.105)
Lu (0.964, 0.121, 0.395)
Ta (0.191, 0.347, 0.074)
Ta (0.296, 0.487, 0.426)
Ta (0.347, 0.191, 0.574)
Ta (0.487, 0.296, 0.926)
Ta (0.513, 0.704, 0.074)
Ta (0.653, 0.809, 0.426)
Ta (0.704, 0.513, 0.574)
Ta (0.809, 0.653, 0.926)
Cd (0.086, 0.388, 0.752)
Cd (0.388, 0.086, 0.252)
Cd (0.442, 0.558, 0.250)
Cd (0.558, 0.442, 0.750)
Cd (0.612, 0.914, 0.748)
Cd (0.914, 0.612, 0.248)
C (0.000, 0.500, 0.500)
C (0.171, 0.658, 0.000)
C (0.342, 0.829, 0.500)
C (0.500, 0.000, 0.000)
C (0.658, 0.171, 0.500)
C (0.829, 0.342, 0.000)



Record 9
An optimized crystal structure of TmLu3Cd2C2, computed with PBE-GGA.

- symmetry = No. 156

Cell lengths 3.486, 3.486, 16.151 Å; angles 90.00, 90.00, 120.00 degrees
Positions (direct):
Tm (0.000, 0.000, 0.000)
Lu (0.000, 0.000, 0.663)
Lu (0.667, 0.333, 0.164)
Lu (0.667, 0.333, 0.501)
Cd (0.000, 0.000, 0.332)
Cd (0.667, 0.333, 0.832)
C (0.333, 0.667, 0.083)
C (0.333, 0.667, 0.582)



Record 10
An optimized crystal structure of Tm3LuCd2C2, computed with PBE-GGA.

- symmetry = No. 156

Cell lengths 3.501, 3.501, 16.216 Å; angles 90.00, 90.00, 120.00 degrees
Positions (direct):
Tm (0.000, 0.000, 0.000)
Tm (0.000, 0.000, 0.336)
Tm (0.667, 0.333, 0.835)
Lu (0.667, 0.333, 0.499)
Cd (0.000, 0.000, 0.667)
Cd (0.667, 0.333, 0.168)
C (0.333, 0.667, 0.418)
C (0.333, 0.667, 0.918)



Record 11
An optimized crystal structure of Lu4Cd3W2C3, computed with PBE-GGA.

- symmetry = No. 15

Cell lengths 5.793, 5.793, 15.281 Å; angles 101.94, 101.94, 60.56 degrees
Positions (direct):
Lu (0.050, 0.184, 0.092)
Lu (0.118, 0.300, 0.408)
Lu (0.184, 0.050, 0.592)
Lu (0.300, 0.118, 0.908)
Lu (0.700, 0.882, 0.092)
Lu (0.816, 0.950, 0.408)
Lu (0.882, 0.700, 0.592)
Lu (0.950, 0.816, 0.908)
Cd (0.141, 0.859, 0.250)
Cd (0.295, 0.422, 0.754)
Cd (0.422, 0.295, 0.254)
Cd (0.578, 0.705, 0.746)
Cd (0.705, 0.578, 0.246)
Cd (0.859, 0.141, 0.750)
W (0.343, 0.523, 0.064)
W (0.477, 0.657, 0.436)
W (0.523, 0.343, 0.564)
W (0.657, 0.477, 0.936)
C (0.000, 0.500, 0.000)
C (0.193, 0.654, 0.500)
C (0.346, 0.807, 0.000)
C (0.500, 0.000, 0.500)
C (0.654, 0.193, 0.000)
C (0.807, 0.346, 0.500)



Record 12
An optimized crystal structure of Y4Lu2Cd3C3, computed with PBE-GGA.

- symmetry = No. 15

Cell lengths 6.162, 6.162, 16.974 Å; angles 100.42, 100.42, 59.99 degrees
Positions (direct):
Y (0.027, 0.193, 0.080)
Y (0.140, 0.307, 0.420)
Y (0.193, 0.027, 0.580)
Y (0.307, 0.140, 0.920)
Y (0.693, 0.860, 0.080)
Y (0.807, 0.973, 0.420)
Y (0.860, 0.693, 0.580)
Y (0.973, 0.807, 0.920)
Lu (0.361, 0.526, 0.080)
Lu (0.474, 0.639, 0.420)
Lu (0.526, 0.361, 0.580)
Lu (0.639, 0.474, 0.920)
Cd (0.069, 0.931, 0.750)
Cd (0.106, 0.415, 0.750)
Cd (0.415, 0.106, 0.250)
Cd (0.585, 0.894, 0.750)
Cd (0.894, 0.585, 0.250)
Cd (0.931, 0.069, 0.250)
C (0.000, 0.500, 0.000)
C (0.179, 0.661, 0.500)
C (0.339, 0.821, 0.000)
C (0.500, 0.000, 0.500)
C (0.661, 0.179, 0.000)
C (0.821, 0.339, 0.500)



Record 13
An optimized crystal structure of Y2Lu4Cd3C3, computed with PBE-GGA.

- symmetry = No. 15

Cell lengths 6.108, 6.108, 16.380 Å; angles 100.74, 100.74, 59.94 degrees
Positions (direct):
Y (0.030, 0.866, 0.592)
Y (0.134, 0.970, 0.908)
Y (0.866, 0.030, 0.092)
Y (0.970, 0.134, 0.408)
Lu (0.192, 0.357, 0.078)
Lu (0.305, 0.476, 0.423)
Lu (0.357, 0.192, 0.578)
Lu (0.476, 0.305, 0.923)
Lu (0.524, 0.695, 0.077)
Lu (0.643, 0.808, 0.422)
Lu (0.695, 0.524, 0.577)
Lu (0.808, 0.643, 0.922)
Cd (0.086, 0.400, 0.751)
Cd (0.400, 0.086, 0.251)
Cd (0.426, 0.574, 0.250)
Cd (0.574, 0.426, 0.750)
Cd (0.600, 0.914, 0.749)
Cd (0.914, 0.600, 0.249)
C (0.000, 0.500, 0.500)
C (0.166, 0.668, 0.000)
C (0.332, 0.834, 0.500)
C (0.500, 0.000, 0.000)
C (0.668, 0.166, 0.500)
C (0.834, 0.332, 0.000)



Record 14
An optimized crystal structure of Lu4ZnCdC2, computed with PBE-GGA.

- symmetry = No. 187

Cell lengths 3.486, 3.486, 15.508 Å; angles 90.00, 90.00, 120.00 degrees
Positions (direct):
Lu (0.000, 0.000, 0.157)
Lu (0.000, 0.000, 0.843)
Lu (0.667, 0.333, 0.326)
Lu (0.667, 0.333, 0.674)
Zn (0.667, 0.333, 0.000)
Cd (0.000, 0.000, 0.500)
C (0.333, 0.667, 0.243)
C (0.333, 0.667, 0.757)



Record 15
An optimized crystal structure of Lu3ZrCd2C2, computed with PBE-GGA.

- symmetry = No. 156

Cell lengths 3.437, 3.437, 15.853 Å; angles 90.00, 90.00, 120.00 degrees
Positions (direct):
Lu (0.000, 0.000, 0.000)
Lu (0.000, 0.000, 0.336)
Lu (0.667, 0.333, 0.834)
Zr (0.667, 0.333, 0.498)
Cd (0.000, 0.000, 0.660)
Cd (0.667, 0.333, 0.169)
C (0.333, 0.667, 0.425)
C (0.333, 0.667, 0.917)



Record 16
An optimized crystal structure of Lu4Zr2Cd3C3, computed with PBE-GGA.

- symmetry = No. 15

Cell lengths 5.934, 5.934, 16.114 Å; angles 100.41, 100.41, 60.01 degrees
Positions (direct):
Lu (0.034, 0.189, 0.087)
Lu (0.132, 0.306, 0.413)
Lu (0.189, 0.034, 0.587)
Lu (0.306, 0.132, 0.913)
Lu (0.694, 0.868, 0.087)
Lu (0.811, 0.966, 0.413)
Lu (0.868, 0.694, 0.587)
Lu (0.966, 0.811, 0.913)
Zr (0.351, 0.525, 0.076)
Zr (0.475, 0.649, 0.424)
Zr (0.525, 0.351, 0.576)
Zr (0.649, 0.475, 0.924)
Cd (0.114, 0.886, 0.250)
Cd (0.282, 0.416, 0.750)
Cd (0.416, 0.282, 0.250)
Cd (0.584, 0.718, 0.750)
Cd (0.718, 0.584, 0.250)
Cd (0.886, 0.114, 0.750)
C (0.000, 0.500, 0.000)
C (0.185, 0.657, 0.500)
C (0.343, 0.815, 0.000)
C (0.500, 0.000, 0.500)
C (0.657, 0.185, 0.000)
C (0.815, 0.343, 0.500)



Record 17
An optimized crystal structure of MgCdC2O6, computed with PBE-GGA.

- symmetry = No. 148

Cell lengths 5.819, 5.819, 5.819 Å; angles 48.70, 48.70, 48.70 degrees
Positions (direct):
Mg (0.000, 0.000, 0.000)
Cd (0.500, 0.500, 0.500)
C (0.255, 0.255, 0.255)
C (0.745, 0.745, 0.745)
O (0.004, 0.540, 0.220)
O (0.220, 0.004, 0.540)
O (0.460, 0.780, 0.996)
O (0.540, 0.220, 0.004)
O (0.780, 0.996, 0.460)
O (0.996, 0.460, 0.780)



Record 18
An optimized crystal structure of CdMo2C, computed with PBE-GGA.

- symmetry = No. 194

Cell lengths 3.083, 3.083, 14.326 Å; angles 90.00, 90.00, 120.00 degrees
Positions (direct):
Cd (0.333, 0.667, 0.250)
Cd (0.667, 0.333, 0.750)
Mo (0.333, 0.667, 0.580)
Mo (0.333, 0.667, 0.920)
Mo (0.667, 0.333, 0.080)
Mo (0.667, 0.333, 0.420)
C (0.000, 0.000, 0.000)
C (0.000, 0.000, 0.500)



Let's list raw total energy in order: -44.8; -44.8; -48.3; -48.3; -130.3; -47.1; -153.9; -184.0; -41.1; -40.9; -156.1; -137.4; -131.3; -41.3; -45.5; -141.2; -67.5; -63.1 eV per cell.